Record 1
# Rb2NbV2

An optimized crystal structure of Rb2NbV2 (PBE-GGA, Alexandria).

Cell: 9.679 9.679 3.087 Å, 90.00 90.00 90.00°
Space group P4/mbm (No. 127)
Asymmetric unit:
Rb  0.120  0.380  0.000 (multiplicity 4)
Nb  0.000  0.000  0.500 (multiplicity 2)
V  0.187  0.687  0.500 (multiplicity 4)

## Properties
E above lowest polymorph ... 0.5006 eV/atom
V ... 28.9 Å³ per atom
Calculated formation energy ... 2.03 eV/atom
Total energy ... -40.215 eV/cell

=====

Record 2
# VCr2RuN

An optimized crystal structure of VCr2RuN (PBE-GGA, Alexandria).

Cell: 3.811 3.811 3.917 Å, 90.00 90.00 90.00°
Space group P4/mmm (No. 123)
Asymmetric unit:
V  0.000  0.000  0.000 (multiplicity 1)
Cr  0.000  0.500  0.500 (multiplicity 2)
Ru  0.500  0.500  0.000 (multiplicity 1)
N  0.000  0.000  0.500 (multiplicity 1)

## Properties
E_form (uncorrected) ... -0.33 eV/atom
V ... 11.4 Å³ per atom
Total energy ... -47.603 eV/cell

=====

Record 3
# Sm8Mg2Rh

An optimized crystal structure of Sm8Mg2Rh (PBE-GGA, Alexandria).

Cell: 17.668 5.621 7.123 Å, 90.00 110.75 90.00°
Space group C2/m (No. 12)
Asymmetric unit:
Sm  0.014  0.000  0.276 (multiplicity 4)
Sm  0.100  0.500  0.906 (multiplicity 4)
Sm  0.145  0.500  0.424 (multiplicity 4)
Sm  0.194  0.000  0.749 (multiplicity 4)
Mg  0.184  0.000  0.192 (multiplicity 4)
Rh  0.000  0.500  0.500 (multiplicity 2)

## Properties
V ... 30.1 Å³ per atom
Calculated formation energy ... -0.12 eV/atom
Total energy ... -99.191 eV/cell

=====

Record 4
# TlCr2N

An optimized crystal structure of TlCr2N (PBE-GGA, Alexandria).

Cell: 5.983 5.983 5.983 Å, 90.00 90.00 90.00°
Space group Fm-3m (No. 225)
Asymmetric unit:
Tl  0.000  0.000  0.000 (multiplicity 4)
Cr  0.250  0.250  0.250 (multiplicity 8)
N  0.000  0.000  0.500 (multiplicity 4)

## Properties
E_form (uncorrected) ... 1.64 eV/atom
E above lowest polymorph ... 1.3951 eV/atom
V ... 13.4 Å³ per atom
Total energy ... -93.527 eV/cell

=====

Record 5
# YTaC2

An optimized crystal structure of YTaC2 (PBE-GGA, Alexandria).

Cell: 5.721 5.721 7.785 Å, 90.00 90.00 90.00°
Space group I-42d (No. 122)
Asymmetric unit:
Y  0.000  0.000  0.000 (multiplicity 4)
Ta  0.000  0.000  0.500 (multiplicity 4)
C  0.198  0.750  0.625 (multiplicity 8)

## Properties
E above lowest polymorph ... 0.3522 eV/atom
V ... 15.9 Å³ per atom
Calculated formation energy ... -0.13 eV/atom
Total energy ... -149.162 eV/cell

=====

Record 6
# LiNdPuAu

An optimized crystal structure of LiNdPuAu (PBE-GGA, Alexandria).

Cell: 7.360 7.360 7.360 Å, 90.00 90.00 90.00°
Space group F-43m (No. 216)
Asymmetric unit:
Li  0.000  0.000  0.000 (multiplicity 4)
Nd  0.250  0.250  0.250 (multiplicity 4)
Pu  0.250  0.250  0.750 (multiplicity 4)
Au  0.000  0.000  0.500 (multiplicity 4)

## Properties
V ... 24.9 Å³ per atom
Calculated formation energy ... -0.14 eV/atom
Total energy ... -99.472 eV/cell

=====

Record 7
# Sm4IrCl5

An optimized crystal structure of Sm4IrCl5 (PBE-GGA, Alexandria).

Cell: 18.660 4.027 8.458 Å, 90.00 104.84 90.00°
Space group C2/m (No. 12)
Asymmetric unit:
Sm  0.001  0.000  0.277 (multiplicity 4)
Sm  0.154  0.500  0.599 (multiplicity 4)
Ir  0.000  0.500  0.500 (multiplicity 2)
Cl  0.000  0.500  0.000 (multiplicity 2)
Cl  0.168  0.000  0.835 (multiplicity 4)
Cl  0.175  0.000  0.372 (multiplicity 4)

## Properties
E_form (uncorrected) ... -1.71 eV/atom
V ... 30.7 Å³ per atom
Total energy ... -108.175 eV/cell

=====

Record 8
# Fe3GeH2

An optimized crystal structure of Fe3GeH2 (PBE-GGA, Alexandria).

Cell: 6.763 7.848 4.033 Å, 90.00 90.00 90.00°
Space group Cmcm (No. 63)
Asymmetric unit:
Fe  0.000  0.117  0.250 (multiplicity 4)
Fe  0.201  0.379  0.250 (multiplicity 8)
Ge  0.000  0.325  0.750 (multiplicity 4)
H  0.156  0.000  0.000 (multiplicity 8)

## Properties
V ... 8.9 Å³ per atom
Total energy ... -146.893 eV/cell

=====

Record 9
# Sm6Te3AsPb2

An optimized crystal structure of Sm6Te3AsPb2 (PBE-GGA, Alexandria).

Cell: 19.383 4.439 8.917 Å, 90.00 103.36 90.00°
Space group C2/m (No. 12)
Asymmetric unit:
Sm  0.001  0.000  0.230 (multiplicity 4)
Sm  0.158  0.500  0.082 (multiplicity 4)
Sm  0.167  0.500  0.578 (multiplicity 4)
Te  0.000  0.500  0.500 (multiplicity 2)
Te  0.168  0.000  0.834 (multiplicity 4)
As  0.000  0.500  0.000 (multiplicity 2)
Pb  0.166  0.000  0.331 (multiplicity 4)

## Properties
E_form (uncorrected) ... -1.17 eV/atom
V ... 31.1 Å³ per atom
Total energy ... -127.724 eV/cell

=====

Record 10
# Ca4TlIr

An optimized crystal structure of Ca4TlIr (PBE-GGA, Alexandria).

Cell: 9.145 13.705 6.183 Å, 90.00 111.57 90.00°
Space group C2/c (No. 15)
Asymmetric unit:
Ca  0.111  0.167  0.062 (multiplicity 8)
Ca  0.220  0.428  0.351 (multiplicity 8)
Tl  0.000  0.369  0.750 (multiplicity 4)
Ir  0.000  0.001  0.250 (multiplicity 4)

## Properties
E above lowest polymorph ... 0.0000 eV/atom
V ... 30.0 Å³ per atom
Calculated formation energy ... -0.37 eV/atom
Total energy ... -85.900 eV/cell

=====

Record 11
# FeRh2Cl

An optimized crystal structure of FeRh2Cl (PBE-GGA, Alexandria).

Cell: 2.9459 2.9459 23.6652 Å, 90.00 90.00 120.00°
Space group R-3m (No. 166, hexagonal axes)
Asymmetric unit:
Fe  0.0000  0.0000  0.0000 (multiplicity 3)
Rh  0.0000  0.0000  0.2545 (multiplicity 6)
Cl  0.0000  0.0000  0.5000 (multiplicity 3)

## Properties
E_form (uncorrected) ... 0.21 eV/atom
V ... 14.8 Å³ per atom
Total energy ... -72.506 eV/cell

=====

Record 12
# PmPa2Te6

An optimized crystal structure of PmPa2Te6 (PBE-GGA, Alexandria).

Cell: 5.773 5.773 22.097 Å, 90.00 90.00 90.00°
Space group I-42m (No. 121)
Asymmetric unit:
Pm  0.000  0.000  0.000 (multiplicity 2)
Pa  0.000  0.000  0.311 (multiplicity 4)
Te  0.000  0.500  0.250 (multiplicity 4)
Te  0.234  0.234  0.592 (multiplicity 8)

## Properties
E_form (uncorrected) ... -0.62 eV/atom
V ... 40.9 Å³ per atom
Total energy ... -96.295 eV/cell

=====

Record 13
# RbCd

An optimized crystal structure of RbCd (PBE-GGA, Alexandria).

Cell: 10.552 10.552 10.552 Å, 90.00 90.00 90.00°
Space group Pm-3n (No. 223)
Asymmetric unit:
Rb  0.000  0.250  0.500 (multiplicity 6)
Cd  0.000  0.500  0.250 (multiplicity 6)

## Properties
V ... 97.9 Å³ per atom
Calculated formation energy ... 0.34 eV/atom
Total energy ... -7.195 eV/cell

=====

Record 14
# TeS4Cl

An optimized crystal structure of TeS4Cl (PBE-GGA, Alexandria).

Cell: 7.316 7.709 8.822 Å, 102.94 111.79 96.06°
Space group P-1 (No. 2)
Asymmetric unit:
Te  0.229  0.441  0.057 (multiplicity 2)
S  0.279  0.635  0.886 (multiplicity 2)
S  0.314  0.092  0.527 (multiplicity 2)
S  0.322  0.843  0.500 (multiplicity 2)
S  0.428  0.223  0.983 (multiplicity 2)
Cl  0.137  0.139  0.288 (multiplicity 2)

## Properties
E_form (uncorrected) ... 0.03 eV/atom
V ... 36.7 Å³ per atom
Total energy ... -42.654 eV/cell

=====

Record 15
# MnPPt2

An optimized crystal structure of MnPPt2 (PBE-GGA, Alexandria).

Cell: 5.546 7.236 2.995 Å, 90.00 90.00 90.00°
Space group Cmmm (No. 65)
Asymmetric unit:
Mn  0.000  0.000  0.000 (multiplicity 2)
P  0.000  0.500  0.000 (multiplicity 2)
Pt  0.250  0.250  0.500 (multiplicity 4)

## Properties
V ... 15.0 Å³ per atom
Calculated formation energy ... -0.11 eV/atom
Total energy ... -54.177 eV/cell

=====

Record 16
# MnV2Sb

An optimized crystal structure of MnV2Sb (PBE-GGA, Alexandria).

Cell: 3.741 3.741 19.064 Å, 90.00 90.00 90.00°
Space group I-42d (No. 122)
Asymmetric unit:
Mn  0.000  0.000  0.000 (multiplicity 4)
V  0.248  0.250  0.625 (multiplicity 8)
Sb  0.000  0.000  0.500 (multiplicity 4)

## Properties
E_form (uncorrected) ... 0.50 eV/atom
V ... 16.7 Å³ per atom
Total energy ... -118.177 eV/cell

=====

Record 17
# K3Sn2Se4

An optimized crystal structure of K3Sn2Se4 (PBE-GGA, Alexandria).

Cell: 12.896 11.881 8.672 Å, 90.00 98.44 90.00°
Space group C2/c (No. 15)
Asymmetric unit:
K  0.000  0.129  0.250 (multiplicity 4)
K  0.140  0.387  0.636 (multiplicity 8)
Sn  0.183  0.127  0.898 (multiplicity 8)
Se  0.109  0.327  0.026 (multiplicity 8)
Se  0.166  0.051  0.587 (multiplicity 8)

## Properties
E_form (uncorrected) ... -0.81 eV/atom
E above lowest polymorph ... 0.0071 eV/atom
V ... 36.5 Å³ per atom
Total energy ... -130.130 eV/cell

=====

Record 18
# Pb3I

An optimized crystal structure of Pb3I (PBE-GGA, Alexandria).

Cell: 3.814 6.693 5.563 Å, 90.00 90.00 90.00°
Space group Pmm2 (No. 25)
Asymmetric unit:
Pb  0.000  0.000  0.000 (multiplicity 1)
Pb  0.000  0.500  0.015 (multiplicity 1)
Pb  0.500  0.500  0.518 (multiplicity 1)
I  0.500  0.000  0.501 (multiplicity 1)

## Properties
E_form (uncorrected) ... -0.03 eV/atom
V ... 35.5 Å³ per atom
Total energy ... -12.807 eV/cell

=====

Record 19
# Zr2NbVB

An optimized crystal structure of Zr2NbVB (PBE-GGA, Alexandria).

Cell: 4.882 4.882 3.958 Å, 90.00 90.00 90.00°
Space group P4/mmm (No. 123)
Asymmetric unit:
Zr  0.000  0.500  0.000 (multiplicity 2)
Nb  0.000  0.000  0.500 (multiplicity 1)
V  0.500  0.500  0.000 (multiplicity 1)
B  0.500  0.500  0.500 (multiplicity 1)

## Properties
V ... 18.9 Å³ per atom
Calculated formation energy ... 0.95 eV/atom
Total energy ... -38.210 eV/cell

=====

Record 20
# CaMg8Ga6

An optimized crystal structure of CaMg8Ga6 (PBE-GGA, Alexandria).

Cell: 8.3061 8.3061 17.0147 Å, 90.00 90.00 120.00°
Space group R-3 (No. 148, hexagonal axes)
Asymmetric unit:
Ca  0.0000  0.0000  0.0000 (multiplicity 3)
Mg  0.0000  0.0000  0.3369 (multiplicity 6)
Mg  0.0031  0.6628  0.8846 (multiplicity 18)
Ga  0.0003  0.3439  0.9449 (multiplicity 18)

## Properties
V ... 22.6 Å³ per atom
Calculated formation energy ... -0.08 eV/atom
Total energy ... -102.548 eV/cell